DFT (PBE) results for a relaxed Ce6Tl2Sb crystal.

Lattice parameters (Å, degrees): 9.1096 9.1096 3.2317 90.00 90.00 120.00
With the nearest neighbours (Å) after each atom.
Atoms (fractional coordinates):
Ce 0.0000 0.3251 0.0000  5 Ce 2.96-3.23
Ce 0.0000 0.6749 0.0000  5 Ce 2.96-3.23
Ce 0.3251 0.0000 0.0000  5 Ce 2.96-3.23
Ce 0.3251 0.3251 0.0000  5 Ce 2.96-3.23
Ce 0.6749 0.0000 0.0000  5 Ce 2.96-3.23
Ce 0.6749 0.6749 0.0000  5 Ce 2.96-3.23
Tl 0.3333 0.6667 0.5000  2 Tl 3.23, 12 Ce 3.47
Tl 0.6667 0.3333 0.5000  2 Tl 3.23, 12 Ce 3.47
Sb 0.0000 0.0000 0.5000  2 Sb 3.23, 12 Ce 3.37

Summary:
Energy relative to the elements, uncorrected, eV per atom: -0.193
Space-group type: P6/mmm (191)
Volume, Å³ per atom: 25.81
Electronic total energy, eV/cell: -46.19
Mass density, kg/m³: 9804